DFT (GGA-PBE) results for an optimized crystal structure of Ac2InS4.

a = 6.936 Å, b = 6.658 Å, c = 8.517 Å
α = 90.00°, β = 107.79°, γ = 90.00°
Atoms (fractional coordinates):
Ac (0.233, 0.250, 0.062)
Ac (0.242, 0.250, 0.555)
Ac (0.758, 0.750, 0.445)
Ac (0.767, 0.750, 0.938)
In (0.270, 0.750, 0.817)
In (0.730, 0.250, 0.183)
S (0.004, 0.510, 0.248)
S (0.004, 0.990, 0.248)
S (0.418, 0.750, 0.579)
S (0.431, 0.750, 0.132)
S (0.569, 0.250, 0.868)
S (0.582, 0.250, 0.421)
S (0.996, 0.010, 0.752)
S (0.996, 0.490, 0.752)

## Properties
Space-group type: P2_1/m (11)
Calculated density: 6.2 g/cm3
Total magnetization: 0.000 μB/f.u.
E_tot: -5.39 eV/atom
Uncorrected formation energy: -1465.8 meV/atom